Entry 1:
# HoAl2Pt4

A geometry-optimized HoAl2Pt4 structure (PBE, the Alexandria database).

abc: 16.417 4.211 7.018
angles: 90.00 90.00 90.00
Space group Pnma (No. 62)
Inequivalent atoms, fractional coordinates:
Ho (0.147, 0.250, 0.058) x4
Al (0.024, 0.750, 0.251) x4
Al (0.195, 0.250, 0.607) x4
Pt (0.044, 0.750, 0.895) x4
Pt (0.057, 0.250, 0.447) x4
Pt (0.174, 0.750, 0.382) x4
Pt (0.212, 0.750, 0.809) x4

Values from the calculation:
Formation energy from the elements in eV/atom: -1.028
Volume in Å³/atom: 17.3

---

Entry 2:
# YHg4Ru

A geometry-optimized YHg4Ru structure (PBE, the Alexandria database).

abc: 8.055 8.055 8.055
angles: 90.00 90.00 90.00
Space group F-43m (No. 216)
Inequivalent atoms, fractional coordinates:
Y (0.000, 0.000, 0.000) x4
Hg (0.124, 0.124, 0.624) x16
Ru (0.250, 0.250, 0.250) x4

Values from the calculation:
Formation energy from the elements in eV/atom: 0.211
Volume in Å³/atom: 21.8